w.
First-principles (PBE) data for a relaxed TmPuTlRh crystal, as listed in the Alexandria database.

a b c (Å): 7.2149 7.2149 7.2149
angles (deg): 90.00 90.00 90.00
With the nearest neighbours (Å) after each atom.
Space group F-43m (No. 216)
One atom of each set of equivalent atoms:
Tm 0.0000 0.0000 0.0000  4 Tl 3.12, 4 Rh 3.12
Pu 0.0000 0.0000 0.5000  4 Tl 3.12, 4 Rh 3.12
Tl 0.2500 0.2500 0.2500  4 Tm 3.12, 4 Pu 3.12
Rh 0.2500 0.2500 0.7500  4 Tm 3.12, 4 Pu 3.12



x.
First-principles (PBE) data for a relaxed TmPuTlRh crystal, as listed in the Alexandria database.

a b c (Å): 3.3597 3.3597 8.2908
angles (deg): 90.00 90.00 90.00
With the nearest neighbours (Å) after each atom.
Space group P4mm (No. 99)
One atom of each set of equivalent atoms:
Tm 0.0000 0.0000 0.0000  4 Rh 2.86
Pu 0.0000 0.0000 0.5801  4 Rh 3.03, 4 Pu 3.36
Tl 0.5000 0.5000 0.2861  4 Tm 3.36, 4 Tl 3.36, 4 Pu 3.40
Rh 0.5000 0.5000 0.8072  4 Tm 2.86, 4 Pu 3.03



If we sort the structures by their calculated energies, the order from most to least stable is x, w.



w.
First-principles (PBE) data for a relaxed TmPu2Rh crystal, as listed in the Alexandria database.

a b c (Å): 3.4524 3.4524 30.4679
angles (deg): 90.00 90.00 120.00
With the nearest neighbours (Å) after each atom.
Space group R-3m (No. 166, hexagonal axes)
One atom of each set of equivalent atoms:
Tm 0.0000 0.0000 0.0000  2 Pu 3.11, 6 Tm 3.45
Pu 0.0000 0.0000 0.1021  3 Rh 2.80, 1 Tm 3.11
Rh 0.0000 0.0000 0.5000  6 Pu 2.80



x.
First-principles (PBE) data for a relaxed TmPu2Rh crystal, as listed in the Alexandria database.

a b c (Å): 3.5707 3.5707 7.6363
angles (deg): 90.00 90.00 90.00
With the nearest neighbours (Å) after each atom.
Space group P4/mmm (No. 123)
One atom of each set of equivalent atoms:
Tm 0.0000 0.0000 0.0000  8 Pu 3.41, 4 Tm 3.57
Pu 0.5000 0.5000 0.2997  4 Rh 2.95, 1 Pu 3.06
Rh 0.0000 0.0000 0.5000  8 Pu 2.95



If we sort the structures by their calculated energies, the order from most to least stable is x, w.



w.
First-principles (PBE) data for a relaxed PuURh crystal, as listed in the Alexandria database.

a b c (Å): 4.6222 5.2769 5.3604
angles (deg): 81.39 76.30 70.13
With the nearest neighbours (Å) after each atom.
Space group P-1 (No. 2)
One atom of each set of equivalent atoms:
Pu 0.1447 0.3676 0.2274  2 U 2.68-2.91, 1 Rh 2.83, 1 Pu 2.99
U 0.1994 0.9469 0.7872  1 U 2.57, 1 Pu 2.68, 2 Rh 2.68-2.82
Rh 0.4557 0.7174 0.3081  2 U 2.68-2.82, 1 Pu 2.83, 1 Rh 2.83



x.
First-principles (PBE) data for a relaxed PuURh crystal, as listed in the Alexandria database.

a b c (Å): 3.4749 3.4749 9.8625
angles (deg): 90.00 90.00 90.00
With the nearest neighbours (Å) after each atom.
Space group I4mm (No. 107)
One atom of each set of equivalent atoms:
Pu 0.0000 0.0000 0.0000  5 U 2.98-3.25, 5 Rh 3.04-3.14
U 0.0000 0.0000 0.6701  4 Rh 2.86, 4 Pu 2.98
Rh 0.0000 0.0000 0.3186  4 U 2.86, 5 Pu 3.04-3.14



y.
First-principles (PBE) data for a relaxed PuURh crystal, as listed in the Alexandria database.

a b c (Å): 4.9429 6.6369 6.7549
angles (deg): 90.00 90.00 90.00
With the nearest neighbours (Å) after each atom.
Space group Imma (No. 74)
One atom of each set of equivalent atoms:
Pu 0.0000 0.2500 0.2270  2 U 2.48, 2 Pu 2.49, 1 Rh 2.54
U 0.0000 0.0000 0.5000  2 Pu 2.48
Rh 0.0000 0.2500 0.8502  1 Pu 2.54, 2 Rh 2.82



If we sort the structures by their calculated energies, the order from most to least stable is w, x, y.



w.
First-principles (PBE) data for a relaxed PuVRh crystal, as listed in the Alexandria database.

a b c (Å): 2.9712 2.9712 11.7855
angles (deg): 90.00 90.00 90.00
With the nearest neighbours (Å) after each atom.
Space group I4mm (No. 107)
One atom of each set of equivalent atoms:
Pu 0.0000 0.0000 0.0000  4 Pu 2.97, 4 V 3.00, 4 Rh 3.14
V 0.0000 0.0000 0.3179  4 Rh 2.53
Rh 0.0000 0.0000 0.6975  4 V 2.53



x.
First-principles (PBE) data for a relaxed PuVRh crystal, as listed in the Alexandria database.

a b c (Å): 4.4864 4.4864 2.8274
angles (deg): 90.00 90.00 120.00
With the nearest neighbours (Å) after each atom.
Space group P3m1 (No. 156)
One atom of each set of equivalent atoms:
Pu 0.0000 0.0000 0.0000  3 V 2.65, 3 Rh 2.77, 2 Pu 2.83
V 0.6667 0.3333 0.1965  3 Pu 2.65, 2 V 2.83, 3 Rh 2.90
Rh 0.3333 0.6667 0.6544  3 Pu 2.77, 2 Rh 2.83, 6 V 2.90-3.01



If we sort the structures by their calculated energies, the order from most to least stable is w, x.



w.
First-principles (PBE) data for a relaxed PuVRh2 crystal, as listed in the Alexandria database.

a b c (Å): 4.1916 4.1916 3.7976
angles (deg): 90.00 90.00 90.00
With the nearest neighbours (Å) after each atom.
Space group P4/mmm (No. 123)
One atom of each set of equivalent atoms:
Pu 0.0000 0.0000 0.0000  8 Rh 2.83, 4 V 2.96
V 0.5000 0.5000 0.0000  8 Rh 2.83, 4 Pu 2.96
Rh 0.0000 0.5000 0.5000  4 Pu 2.83, 4 V 2.83, 4 Rh 2.96



x.
First-principles (PBE) data for a relaxed PuVRh2 crystal, as listed in the Alexandria database.

a b c (Å): 2.9679 2.9679 7.5407
angles (deg): 90.00 90.00 90.00
With the nearest neighbours (Å) after each atom.
Space group P4/mmm (No. 123)
One atom of each set of equivalent atoms:
Pu 0.0000 0.0000 0.0000  4 Pu 2.97, 8 Rh 3.07
V 0.0000 0.0000 0.5000  8 Rh 2.59
Rh 0.5000 0.5000 0.2979  4 V 2.59



If we sort the structures by their calculated energies, the order from most to least stable is x, w.



w.
First-principles (PBE) data for a relaxed Pu2VRh crystal, as listed in the Alexandria database.

a b c (Å): 2.8678 2.8678 30.3333
angles (deg): 90.00 90.00 120.00
With the nearest neighbours (Å) after each atom.
Space group R-3m (No. 166, hexagonal axes)
One atom of each set of equivalent atoms:
Pu 0.0000 0.0000 0.0846  1 V 2.57, 6 Pu 2.87
V 0.0000 0.0000 0.0000  2 Pu 2.57, 6 V 2.87
Rh 0.0000 0.0000 0.5000  6 Rh 2.87, 6 Pu 2.99



x.
First-principles (PBE) data for a relaxed Pu2VRh crystal, as listed in the Alexandria database.

a b c (Å): 3.5321 3.5321 5.1535
angles (deg): 90.00 90.00 90.00
With the nearest neighbours (Å) after each atom.
Space group P4/mmm (No. 123)
One atom of each set of equivalent atoms:
Pu 0.0000 0.5000 0.0000  4 Pu 2.50
V 0.0000 0.0000 0.5000  4 Rh 2.50
Rh 0.5000 0.5000 0.5000  4 V 2.50



If we sort the structures by their calculated energies, the order from most to least stable is x, w.



w.
First-principles (PBE) data for a relaxed Y2PuRh2 crystal, as listed in the Alexandria database.

a b c (Å): 10.4651 5.7950 7.7835
angles (deg): 90.00 103.15 90.00
With the nearest neighbours (Å) after each atom.
Space group C2/c (No. 15)
One atom of each set of equivalent atoms:
Y 0.1515 0.1317 0.1508  6 Rh 3.06-3.27
Pu 0.0000 0.3623 0.7500  4 Rh 2.63-2.69
Rh 0.1370 0.3617 0.5050  2 Pu 2.63-2.69, 1 Rh 2.71



x.
First-principles (PBE) data for a relaxed Y2PuRh2 crystal, as listed in the Alexandria database.

a b c (Å): 5.6952 4.2117 10.3570
angles (deg): 90.00 95.32 90.00
With the nearest neighbours (Å) after each atom.
Space group P2_1/m (No. 11)
One atom of each set of equivalent atoms:
Y 0.1134 0.2500 0.3766  5 Rh 2.85-3.13
Y 0.2502 0.2500 0.0372  4 Rh 2.85-3.16
Pu 0.3941 0.2500 0.7070  5 Rh 2.75-3.03
Rh 0.2486 0.7500 0.8524  2 Pu 2.76, 4 Y 2.85-2.99
Rh 0.3456 0.7500 0.5357  3 Pu 2.75-3.03, 3 Y 2.85-2.91, 2 Rh 2.88



If we sort the structures by their calculated energies, the order from most to least stable is w, x.



w.
First-principles (PBE) data for a relaxed Pu2ZnRh3 crystal, as listed in the Alexandria database.

a b c (Å): 3.5689 4.9136 6.6693
angles (deg): 97.81 90.90 91.28
With the nearest neighbours (Å) after each atom.
Space group P-1 (No. 2)
One atom of each set of equivalent atoms:
Pu 0.0047 0.2054 0.3020  7 Rh 2.75-3.05
Zn 0.5000 0.5000 0.0000  4 Rh 2.46-2.56
Rh 0.4957 0.7275 0.3685  1 Zn 2.56, 2 Pu 2.79-2.84
Rh 0.5000 0.0000 0.0000  2 Zn 2.46



x.
First-principles (PBE) data for a relaxed Pu2ZnRh3 crystal, as listed in the Alexandria database.

a b c (Å): 4.5142 5.2859 9.6070
angles (deg): 90.00 90.00 90.00
With the nearest neighbours (Å) after each atom.
Space group Immm (No. 71)
One atom of each set of equivalent atoms:
Pu 0.0000 0.0000 0.1805  6 Rh 2.67-2.85
Zn 0.0000 0.0000 0.5000  6 Rh 2.63-2.64
Rh 0.0000 0.5000 0.1397  2 Zn 2.63, 4 Pu 2.67-2.84, 1 Rh 2.68
Rh 0.0000 0.5000 0.5000  2 Zn 2.64, 4 Pu 2.85



If we sort the structures by their calculated energies, the order from most to least stable is w, x.